No. 1
The following is a PBE calculation of crystalline LaRe2Br at its relaxed geometry, from Alexandria via LeMat-Bulk.

Cell: 3.127 5.193 9.473 Å, 90.00 90.00 90.00°
Positions (direct):
La (0.000, 0.000, 0.000)
La (0.500, 0.500, 0.000)
Re (0.000, 0.500, 0.259)
Re (0.000, 0.500, 0.741)
Re (0.500, 0.000, 0.259)
Re (0.500, 0.000, 0.741)
Br (0.000, 0.000, 0.500)
Br (0.500, 0.500, 0.500)

Values from the calculation:
Formation energy without anion corrections ... 1183 meV/atom
N(E_F) ... 4.17 states/eV/f.u.
Space group ... Cmmm, No. 65
Offset from the most stable computed form ... 1131.5 meV per atom
Total energy ... -6.6908 eV/atom

No. 2
The following is a PBE calculation of crystalline LaRe2Br at its relaxed geometry, from Alexandria via LeMat-Bulk.

Cell: 4.851 4.851 17.055 Å, 90.00 90.00 90.00°
Positions (direct):
La (0.000, 0.000, 0.000)
La (0.000, 0.500, 0.250)
La (0.500, 0.000, 0.750)
La (0.500, 0.500, 0.500)
Re (0.054, 0.250, 0.625)
Re (0.250, 0.554, 0.875)
Re (0.250, 0.946, 0.375)
Re (0.446, 0.250, 0.125)
Re (0.554, 0.750, 0.125)
Re (0.750, 0.054, 0.375)
Re (0.750, 0.446, 0.875)
Re (0.946, 0.750, 0.625)
Br (0.000, 0.000, 0.500)
Br (0.000, 0.500, 0.750)
Br (0.500, 0.000, 0.250)
Br (0.500, 0.500, 0.000)

Values from the calculation:
Formation energy without anion corrections ... 951 meV/atom
N(E_F) ... 4.20 states/eV/f.u.
Space group ... I-42d, No. 122
Offset from the most stable computed form ... 898.9 meV per atom
Total energy ... -6.9234 eV/atom